(1)
Entry from the Alexandria database: Pm3PO6 after structural relaxation (GGA-PBE).

**Symmetry**: Cmc2_1, No. 36
**Size of the total moment**: 0.000 μB per formula unit
**Calculated volume**: 313.7 Å³ per cell
**Formation energy from raw total energies**: -2.990 eV/atom
**DOS(E_F)**: 0.0000 states/eV per atom

Cell: 7.270 7.270 6.093 Å, 90.00 90.00 103.00°
Sites, in units of the cell vectors:
Pm: 0.095 0.905 0.500
Pm: 0.193 0.413 0.534
Pm: 0.413 0.193 0.034
Pm: 0.587 0.807 0.534
Pm: 0.807 0.587 0.034
Pm: 0.905 0.095 0.000
P: 0.329 0.671 0.096
P: 0.671 0.329 0.596
O: 0.112 0.605 0.194
O: 0.154 0.174 0.265
O: 0.174 0.154 0.765
O: 0.278 0.722 0.614
O: 0.395 0.888 0.194
O: 0.448 0.552 0.255
O: 0.552 0.448 0.755
O: 0.605 0.112 0.694
O: 0.722 0.278 0.114
O: 0.826 0.846 0.265
O: 0.846 0.826 0.765
O: 0.888 0.395 0.694


(2)
Entry from the Alexandria database: Pm12P3O5 after structural relaxation (GGA-PBE).

**Symmetry**: Ia-3d, No. 230
**Size of the total moment**: 0.000 μB per formula unit
**Calculated volume**: 1862.9 Å³ per cell
**Formation energy from raw total energies**: -1.728 eV/atom
**DOS(E_F)**: 0.8122 states/eV per atom

Cell: 13.426 13.426 13.426 Å, 109.47 109.47 109.47°
Sites, in units of the cell vectors:
Pm: 0.021 0.206 0.117
Pm: 0.021 0.316 0.904
Pm: 0.089 0.706 0.684
Pm: 0.089 0.883 0.404
Pm: 0.096 0.617 0.411
Pm: 0.096 0.979 0.684
Pm: 0.117 0.021 0.206
Pm: 0.117 0.596 0.911
Pm: 0.184 0.206 0.589
Pm: 0.184 0.479 0.596
Pm: 0.206 0.117 0.021
Pm: 0.206 0.589 0.184
Pm: 0.294 0.316 0.911
Pm: 0.294 0.479 0.383
Pm: 0.316 0.904 0.021
Pm: 0.316 0.911 0.294
Pm: 0.383 0.294 0.479
Pm: 0.383 0.589 0.904
Pm: 0.404 0.089 0.883
Pm: 0.404 0.816 0.521
Pm: 0.411 0.096 0.617
Pm: 0.411 0.816 0.794
Pm: 0.479 0.383 0.294
Pm: 0.479 0.596 0.184
Pm: 0.521 0.404 0.816
Pm: 0.521 0.617 0.706
Pm: 0.589 0.184 0.206
Pm: 0.589 0.904 0.383
Pm: 0.596 0.184 0.479
Pm: 0.596 0.911 0.117
Pm: 0.617 0.411 0.096
Pm: 0.617 0.706 0.521
Pm: 0.684 0.089 0.706
Pm: 0.684 0.096 0.979
Pm: 0.706 0.521 0.617
Pm: 0.706 0.684 0.089
Pm: 0.794 0.411 0.816
Pm: 0.794 0.883 0.979
Pm: 0.816 0.521 0.404
Pm: 0.816 0.794 0.411
Pm: 0.883 0.404 0.089
Pm: 0.883 0.979 0.794
Pm: 0.904 0.021 0.316
Pm: 0.904 0.383 0.589
Pm: 0.911 0.117 0.596
Pm: 0.911 0.294 0.316
Pm: 0.979 0.684 0.096
Pm: 0.979 0.794 0.883
P: 0.125 0.250 0.375
P: 0.125 0.375 0.750
P: 0.250 0.375 0.125
P: 0.250 0.875 0.625
P: 0.375 0.125 0.250
P: 0.375 0.750 0.125
P: 0.625 0.250 0.875
P: 0.625 0.875 0.750
P: 0.750 0.125 0.375
P: 0.750 0.625 0.875
P: 0.875 0.625 0.250
P: 0.875 0.750 0.625
O: 0.000 0.000 0.000
O: 0.000 0.000 0.500
O: 0.000 0.500 0.000
O: 0.000 0.500 0.500
O: 0.125 0.750 0.875
O: 0.125 0.875 0.250
O: 0.250 0.125 0.875
O: 0.250 0.625 0.375
O: 0.375 0.250 0.625
O: 0.375 0.625 0.750
O: 0.500 0.000 0.000
O: 0.500 0.000 0.500
O: 0.500 0.500 0.000
O: 0.500 0.500 0.500
O: 0.625 0.375 0.250
O: 0.625 0.750 0.375
O: 0.750 0.375 0.625
O: 0.750 0.875 0.125
O: 0.875 0.125 0.750
O: 0.875 0.250 0.125


(3)
Entry from the Alexandria database: Pm2PO after structural relaxation (GGA-PBE).

**Symmetry**: Fm-3m, No. 225
**Size of the total moment**: 0.000 μB per formula unit
**Calculated volume**: 304.7 Å³ per cell
**Energy above the most stable polymorph in this dataset**: 0.5619 eV/atom
**Formation energy from raw total energies**: -1.531 eV/atom
**DOS(E_F)**: 0.4514 states/eV per atom

Cell: 6.729 6.729 6.729 Å, 90.00 90.00 90.00°
Sites, in units of the cell vectors:
Pm: 0.250 0.250 0.250
Pm: 0.250 0.250 0.750
Pm: 0.250 0.750 0.250
Pm: 0.250 0.750 0.750
Pm: 0.750 0.250 0.250
Pm: 0.750 0.250 0.750
Pm: 0.750 0.750 0.250
Pm: 0.750 0.750 0.750
P: 0.000 0.000 0.000
P: 0.000 0.500 0.500
P: 0.500 0.000 0.500
P: 0.500 0.500 0.000
O: 0.000 0.000 0.500
O: 0.000 0.500 0.000
O: 0.500 0.000 0.000
O: 0.500 0.500 0.500


(4)
Entry from the Alexandria database: Pm6PO12 after structural relaxation (GGA-PBE).

**Symmetry**: R-3, No. 148
**Size of the total moment**: 1.147 μB per formula unit
**Calculated volume**: 274.9 Å³ per cell
**Formation energy from raw total energies**: -3.003 eV/atom
**DOS(E_F)**: 0.5219 states/eV per atom

Cell: 6.590 6.590 6.590 Å, 98.80 98.80 98.80°
Sites, in units of the cell vectors:
Pm: 0.106 0.802 0.643
Pm: 0.198 0.357 0.894
Pm: 0.357 0.894 0.198
Pm: 0.643 0.106 0.802
Pm: 0.802 0.643 0.106
Pm: 0.894 0.198 0.357
P: 0.500 0.500 0.500
O: 0.057 0.904 0.323
O: 0.096 0.677 0.943
O: 0.235 0.435 0.522
O: 0.323 0.057 0.904
O: 0.435 0.522 0.235
O: 0.478 0.765 0.565
O: 0.522 0.235 0.435
O: 0.565 0.478 0.765
O: 0.677 0.943 0.096
O: 0.765 0.565 0.478
O: 0.904 0.323 0.057
O: 0.943 0.096 0.677